The following is a DFT calculation (PBE-GGA) of a relaxed structure of CaHPt3.

a b c (Å): 4.1582 4.1582 4.1582
angles (deg): 90.00 90.00 90.00
Positions (direct):
Ca 0.5000 0.5000 0.5000
Pt 0.0000 0.5000 0.0000
Pt 0.5000 0.0000 0.0000
Pt 0.0000 0.0000 0.5000
H 0.0000 0.0000 0.0000

Total magnetic moment in μB per formula unit: 0.00
Energy relative to the lowest polymorph listed for this composition in eV per atom: 0.0000